1.
{"formula": "Sb2Te2Br", "functional": "PBE", "state": "relaxed", "crystal_system": "trigonal", "final_energy_ev_per_atom": -3.36, "e_form_raw_ev_per_atom": -0.115, "magnetic_moment_mub_per_cell": 0.00, "lattice": [[-0.395, 2.699, 3.556], [3.312, 0.240, 3.010], [5.402, 8.881, -3.317]], "species": ["Br", "Sb", "Te", "Sb", "Te"], "fractional_positions": [[0.000, 0.000, 0.000], [0.397, 0.397, 0.810], [0.776, 0.776, 0.671], [0.603, 0.603, 0.190], [0.224, 0.224, 0.329]]}

***

2.
{"formula": "Dy6PaSe12", "functional": "PBE", "state": "relaxed", "crystal_system": "trigonal", "final_energy_ev_per_atom": -5.81, "e_form_raw_ev_per_atom": -1.656, "magnetic_moment_mub_per_cell": 0.00, "lattice": [[-5.878, 5.785, 0.057], [-0.239, -2.191, 7.948], [6.646, 4.881, 0.184]], "species": ["Se", "Se", "Dy", "Se", "Se", "Pa", "Se", "Dy", "Se", "Se", "Se", "Se", "Dy", "Dy", "Se", "Dy", "Se", "Dy", "Se"], "fractional_positions": [[0.424, 0.821, 0.576], [0.328, 0.078, 0.965], [0.140, 0.632, 0.318], [0.821, 0.576, 0.424], [0.424, 0.576, 0.179], [0.000, 0.000, 0.000], [0.035, 0.672, 0.922], [0.860, 0.368, 0.682], [0.672, 0.922, 0.035], [0.576, 0.424, 0.821], [0.922, 0.035, 0.672], [0.965, 0.328, 0.078], [0.368, 0.682, 0.860], [0.318, 0.140, 0.632], [0.179, 0.424, 0.576], [0.682, 0.860, 0.368], [0.078, 0.965, 0.328], [0.632, 0.318, 0.140], [0.576, 0.179, 0.424]]}

***

3.
{"formula": "NiPtS", "functional": "PBE", "state": "relaxed", "crystal_system": "monoclinic", "final_energy_ev_per_atom": -5.45, "e_form_raw_ev_per_atom": -0.135, "magnetic_moment_mub_per_cell": 0.00, "lattice": [[5.040, 0.000, 0.005], [0.000, 3.325, 0.000], [-1.279, 0.000, 5.281]], "species": ["Pt", "S", "Ni", "Pt", "Ni", "S"], "fractional_positions": [[0.226, 0.000, 0.101], [0.343, 0.500, 0.456], [0.598, 0.500, 0.860], [0.032, 0.500, 0.703], [0.653, 0.000, 0.500], [0.742, 0.000, 0.118]]}

***

4.
{"formula": "PmMgH8Pt2", "functional": "PBE", "state": "relaxed", "crystal_system": "trigonal", "final_energy_ev_per_atom": -3.95, "magnetic_moment_mub_per_cell": 0.00, "lattice": [[4.863, 0.000, 0.000], [2.431, 4.211, 0.000], [2.431, 1.404, 5.864]], "species": ["H", "H", "Pt", "H", "H", "Pt", "H", "H", "Pm", "H", "H", "Mg"], "fractional_positions": [[0.171, 0.171, 0.486], [0.089, 0.395, 0.802], [0.738, 0.738, 0.787], [0.605, 0.286, 0.198], [0.395, 0.714, 0.802], [0.262, 0.262, 0.213], [0.286, 0.911, 0.198], [0.829, 0.829, 0.514], [0.500, 0.500, 0.500], [0.911, 0.605, 0.198], [0.714, 0.089, 0.802], [0.000, 0.000, 0.000]]}

***

5.
{"formula": "BaCd2Cl", "functional": "PBE", "state": "relaxed", "crystal_system": "cubic", "final_energy_ev_per_atom": -2.08, "e_form_raw_ev_per_atom": -0.685, "magnetic_moment_mub_per_cell": 0.50, "lattice": [[-4.599, 2.395, -2.059], [-5.033, -1.733, 1.668], [-3.138, 3.268, 3.254]], "species": ["Cd", "Ba", "Cd", "Cl"], "fractional_positions": [[0.250, 0.250, 0.250], [0.500, 0.500, 0.500], [0.000, 0.000, 0.000], [0.750, 0.750, 0.750]]}

***

6.
{"formula": "TiBeTcMo", "functional": "PBE", "state": "relaxed", "crystal_system": "cubic", "final_energy_ev_per_atom": -8.32, "delta_e_f_ev_per_atom": -0.11, "magnetic_moment_mub_per_cell": 0.00, "lattice": [[4.292, 0.000, 0.000], [2.146, 3.717, 0.000], [2.146, 1.239, 3.505]], "species": ["Tc", "Ti", "Be", "Mo"], "fractional_positions": [[0.000, 0.000, 0.000], [0.500, 0.500, 0.500], [0.250, 0.250, 0.250], [0.750, 0.750, 0.750]]}